Material: Mg2Ni3Sn3
Method: DFT, PBE
State: optimized geometry

abc: 7.629 7.629 5.675
angles: 90.00 90.00 120.00
Atoms (fractional coordinates):
Mg 0.333 0.667 0.000
Mg 0.333 0.667 0.500
Mg 0.667 0.333 0.000
Mg 0.667 0.333 0.500
Ni 0.000 0.374 0.250
Ni 0.000 0.626 0.750
Ni 0.374 0.000 0.250
Ni 0.374 0.374 0.750
Ni 0.626 0.000 0.750
Ni 0.626 0.626 0.250
Sn 0.000 0.282 0.750
Sn 0.000 0.718 0.250
Sn 0.282 0.000 0.750
Sn 0.282 0.282 0.250
Sn 0.718 0.000 0.250
Sn 0.718 0.718 0.750

Calculated values
As for the space group: P6_3/mcm (193). The value obtained for the electronic total energy is -68.2 eV per cell. Its formation energy is -195 meV/atom.

=====

Material: Mg4Ni2Sn5
Method: DFT, PBE
State: optimized geometry

abc: 7.514 3.372 9.270
angles: 90.00 93.07 90.00
Atoms (fractional coordinates):
Mg 0.190 0.000 0.436
Mg 0.195 0.000 0.845
Mg 0.805 0.000 0.155
Mg 0.810 0.000 0.564
Ni 0.077 0.500 0.635
Ni 0.923 0.500 0.365
Sn 0.138 0.500 0.146
Sn 0.440 0.500 0.659
Sn 0.500 0.500 0.000
Sn 0.560 0.500 0.341
Sn 0.862 0.500 0.854

Calculated values
As for the space group: P2/m (10). The value obtained for the electronic total energy is -39.5 eV per cell. Its formation energy is -143 meV/atom.

=====

Material: Mg2Ni4Sn3
Method: DFT, PBE
State: optimized geometry

abc: 8.580 8.580 6.641
angles: 90.00 90.00 140.91
Atoms (fractional coordinates):
Mg 0.088 0.912 0.905
Mg 0.412 0.588 0.405
Mg 0.588 0.412 0.595
Mg 0.912 0.088 0.095
Ni 0.159 0.841 0.524
Ni 0.169 0.331 0.750
Ni 0.331 0.169 0.250
Ni 0.341 0.659 0.024
Ni 0.659 0.341 0.976
Ni 0.669 0.831 0.750
Ni 0.831 0.669 0.250
Ni 0.841 0.159 0.476
Sn 0.000 0.000 0.500
Sn 0.008 0.492 0.750
Sn 0.492 0.008 0.250
Sn 0.500 0.500 0.000
Sn 0.508 0.992 0.750
Sn 0.992 0.508 0.250

Calculated values
As for the space group: Cmce (64). The value obtained for the electronic total energy is -80.1 eV per cell. Its formation energy is -190 meV/atom.

=====

Material: Mg3Ni2Sn3
Method: DFT, PBE
State: optimized geometry

abc: 5.484 5.484 14.795
angles: 90.00 90.00 133.76
Atoms (fractional coordinates):
Mg 0.057 0.943 0.620
Mg 0.057 0.943 0.880
Mg 0.338 0.662 0.750
Mg 0.662 0.338 0.250
Mg 0.943 0.057 0.120
Mg 0.943 0.057 0.380
Ni 0.219 0.781 0.114
Ni 0.219 0.781 0.386
Ni 0.781 0.219 0.614
Ni 0.781 0.219 0.886
Sn 0.360 0.640 0.538
Sn 0.360 0.640 0.962
Sn 0.371 0.629 0.250
Sn 0.629 0.371 0.750
Sn 0.640 0.360 0.038
Sn 0.640 0.360 0.462

Calculated values
As for the space group: Cmcm (63). The value obtained for the electronic total energy is -59.9 eV per cell. Its offset from the most stable computed form is 0 meV/atom. Its formation energy is -199 meV/atom.

=====

Material: Mg2Ni2Sn
Method: DFT, PBE
State: optimized geometry

abc: 3.918 3.918 11.458
angles: 90.00 90.00 90.00
Atoms (fractional coordinates):
Mg 0.000 0.500 0.250
Mg 0.000 0.500 0.750
Mg 0.500 0.000 0.250
Mg 0.500 0.000 0.750
Ni 0.000 0.000 0.099
Ni 0.000 0.000 0.901
Ni 0.500 0.500 0.401
Ni 0.500 0.500 0.599
Sn 0.000 0.000 0.500
Sn 0.500 0.500 0.000

Calculated values
As for the space group: I4/mmm (139). The value obtained for the electronic total energy is -36.7 eV per cell. Its formation energy is 78 meV/atom.

=====

Material: Mg3Ni8Sn4
Method: DFT, PBE
State: optimized geometry

abc: 8.710 8.710 8.710
angles: 60.00 60.00 60.00
Atoms (fractional coordinates):
Mg 0.236 0.236 0.764
Mg 0.236 0.764 0.236
Mg 0.236 0.764 0.764
Mg 0.764 0.236 0.236
Mg 0.764 0.236 0.764
Mg 0.764 0.764 0.236
Ni 0.134 0.622 0.622
Ni 0.174 0.174 0.174
Ni 0.174 0.174 0.479
Ni 0.174 0.479 0.174
Ni 0.378 0.378 0.378
Ni 0.378 0.378 0.866
Ni 0.378 0.866 0.378
Ni 0.479 0.174 0.174
Ni 0.521 0.826 0.826
Ni 0.622 0.134 0.622
Ni 0.622 0.622 0.134
Ni 0.622 0.622 0.622
Ni 0.826 0.521 0.826
Ni 0.826 0.826 0.521
Ni 0.826 0.826 0.826
Ni 0.866 0.378 0.378
Sn 0.000 0.000 0.000
Sn 0.000 0.000 0.500
Sn 0.000 0.500 0.000
Sn 0.000 0.500 0.500
Sn 0.500 0.000 0.000
Sn 0.500 0.000 0.500
Sn 0.500 0.500 0.000
Sn 0.500 0.500 0.500

Calculated values
As for the space group: Fm-3m (225). The value obtained for the electronic total energy is -140.1 eV per cell. Its formation energy is -202 meV/atom.

=====

Material: Mg2NiSn2
Method: DFT, PBE
State: optimized geometry

abc: 11.784 11.784 11.784
angles: 158.74 158.74 30.24
Atoms (fractional coordinates):
Mg 0.051 0.301 0.750
Mg 0.301 0.051 0.250
Mg 0.699 0.949 0.750
Mg 0.949 0.699 0.250
Ni 0.375 0.625 0.750
Ni 0.625 0.375 0.250
Sn 0.185 0.435 0.750
Sn 0.435 0.185 0.250
Sn 0.565 0.815 0.750
Sn 0.815 0.565 0.250

Calculated values
As for the space group: I4_1/amd (141). The value obtained for the electronic total energy is -35.8 eV per cell. Its offset from the most stable computed form is 0 meV/atom. Its formation energy is -185 meV/atom.

=====

Material: MgNi5Sn
Method: DFT, PBE
State: optimized geometry

abc: 3.642 3.642 7.625
angles: 90.00 90.00 90.00
Atoms (fractional coordinates):
Mg 0.000 0.000 0.000
Ni 0.000 0.000 0.500
Ni 0.000 0.500 0.255
Ni 0.000 0.500 0.745
Ni 0.500 0.000 0.255
Ni 0.500 0.000 0.745
Sn 0.500 0.500 0.500

Calculated values
As for the space group: P4/mmm (123). The value obtained for the electronic total energy is -33.9 eV per cell. Its formation energy is 82 meV/atom.